Entry from Alexandria: an optimized crystal structure of HoScTcRh (PBE-GGA).

a = 4.692 Å, b = 4.692 Å, c = 4.692 Å
α = 60.00°, β = 60.00°, γ = 60.00°
Fractional coordinates of all 4 atoms:
Ho (0.500, 0.500, 0.500)
Sc (0.000, 0.000, 0.000)
Tc (0.250, 0.250, 0.250)
Rh (0.750, 0.750, 0.750)

Calculated total energy in eV per atom: -7.59
Total magnetic moment in Bohr magnetons per cell: 0.000